(1)
Density functional theory data (GGA-PBE) for a relaxed CaZn2Tc crystal.

Cell lengths 5.2626, 5.2626, 5.2626 Å; angles 135.52, 135.52, 64.72 degrees
Sites, in units of the cell vectors:
1 Ca 0.5000 0.5000 0.0000
2 Tc 0.7500 0.2500 0.5000
3 Zn 0.2500 0.7500 0.5000
4 Zn 0.0000 0.0000 0.0000

- Crystal system: tetragonal
- Space-group type: I-4m2, No. 119
- E above lowest polymorph: 0.185 eV/atom
- Energy of formation: 0.273 eV per atom

(2)
Density functional theory data (GGA-PBE) for a relaxed Ca3ZnTc crystal.

Cell lengths 5.5270, 5.5270, 5.5270 Å; angles 90.00, 90.00, 90.00 degrees
Sites, in units of the cell vectors:
1 Tc 0.5000 0.5000 0.5000
2 Ca 0.0000 0.5000 0.0000
3 Zn 0.0000 0.0000 0.0000
4 Ca 0.5000 0.0000 0.0000
5 Ca 0.0000 0.0000 0.5000

- Crystal system: cubic
- Space-group type: Pm-3m, No. 221
- E above lowest polymorph: 0.271 eV/atom
- Energy of formation: 0.826 eV per atom

(3)
Density functional theory data (GGA-PBE) for a relaxed CaZn2Tc crystal.

Cell lengths 4.6359, 4.6359, 4.6359 Å; angles 60.00, 60.00, 60.00 degrees
Sites, in units of the cell vectors:
1 Tc 0.5000 0.5000 0.5000
2 Ca 0.0000 0.0000 0.0000
3 Zn 0.2500 0.2500 0.2500
4 Zn 0.7500 0.7500 0.7500

- Crystal system: cubic
- Space-group type: Fm-3m, No. 225
- E above lowest polymorph: 0.119 eV/atom
- Energy of formation: 0.207 eV per atom

(4)
Density functional theory data (GGA-PBE) for a relaxed CaZn4Tc crystal.

Cell lengths 5.1972, 5.1972, 5.1972 Å; angles 60.00, 60.00, 60.00 degrees
Sites, in units of the cell vectors:
1 Tc 0.0000 0.0000 0.0000
2 Zn 0.3734 0.3734 0.8799
3 Zn 0.8799 0.3734 0.3734
4 Ca 0.7500 0.7500 0.7500
5 Zn 0.3734 0.3734 0.3734
6 Zn 0.3734 0.8799 0.3734

- Crystal system: cubic
- Space-group type: F-43m, No. 216
- Energy of formation: 0.037 eV per atom

(5)
Density functional theory data (GGA-PBE) for a relaxed CaZn2Tc crystal.

Cell lengths 5.6345, 5.6345, 4.9132 Å; angles 64.02, 64.02, 30.53 degrees
Sites, in units of the cell vectors:
1 Zn 0.7266 0.7266 0.7684
2 Zn 0.9978 0.9978 0.0097
3 Ca 0.5008 0.5008 0.5047
4 Tc 0.2748 0.2748 0.2172

- Crystal system: monoclinic
- Space-group type: Cm, No. 8
- E above lowest polymorph: 0.154 eV/atom
- Energy of formation: 0.242 eV per atom

(6)
Density functional theory data (GGA-PBE) for a relaxed Ca2ZnTc crystal.

Cell lengths 5.3713, 5.3710, 3.1039 Å; angles 90.00, 90.00, 90.59 degrees
Sites, in units of the cell vectors:
1 Tc 0.5000 0.0000 0.5000
2 Zn 0.0000 0.5000 0.5000
3 Ca 0.5000 0.5000 0.0000
4 Ca 0.0000 0.0000 0.0000

- Crystal system: orthorhombic
- Space-group type: Cmmm, No. 65
- Energy of formation: 0.400 eV per atom

(7)
Density functional theory data (GGA-PBE) for a relaxed Ca2ZnTc crystal.

Cell lengths 5.2938, 5.2938, 5.2938 Å; angles 128.22, 128.20, 76.29 degrees
Sites, in units of the cell vectors:
1 Ca 0.0001 0.0001 0.0000
2 Tc 0.2500 0.7500 0.5000
3 Zn 0.7500 0.2500 0.5000
4 Ca 0.4999 0.4999 0.0000

- Crystal system: tetragonal
- Space-group type: I4/mmm, No. 139
- Energy of formation: 0.409 eV per atom

(8)
Density functional theory data (GGA-PBE) for a relaxed Ca2ZnTc crystal.

Cell lengths 5.8204, 5.8204, 5.4027 Å; angles 72.81, 72.81, 31.31 degrees
Sites, in units of the cell vectors:
1 Tc 0.5375 0.5375 0.5205
2 Ca 0.7784 0.7784 0.6852
3 Ca 0.9745 0.9745 0.0564
4 Zn 0.2096 0.2096 0.2379

- Crystal system: monoclinic
- Space-group type: Cm, No. 8
- Energy of formation: 0.259 eV per atom

(9)
Density functional theory data (GGA-PBE) for a relaxed CaZr2ZnTc crystal.

Cell lengths 5.0583, 4.4961, 5.0583 Å; angles 90.00, 90.00, 90.00 degrees
Sites, in units of the cell vectors:
1 Zr 0.5000 0.0000 0.0000
2 Zr 0.0000 0.0000 0.5000
3 Ca 0.0000 0.0000 0.0000
4 Zn 0.5000 0.5000 0.5000
5 Tc 0.0000 0.5000 0.0000

- Crystal system: tetragonal
- Space-group type: P4/mmm, No. 123
- Energy of formation: 1.783 eV per atom

(10)
Density functional theory data (GGA-PBE) for a relaxed CaZrTc2 crystal.

Cell lengths 3.9785, 3.1553, 7.2906 Å; angles 72.66, 90.00, 90.00 degrees
Sites, in units of the cell vectors:
1 Tc 0.5000 0.2257 0.2185
2 Tc 0.0000 0.0118 0.0740
3 Ca 0.5000 0.7617 0.7870
4 Zr 0.0000 0.5008 0.4205

- Crystal system: monoclinic
- Space-group type: Pm, No. 6
- E above lowest polymorph: 0.105 eV/atom
- Energy of formation: 0.267 eV per atom

(11)
Density functional theory data (GGA-PBE) for a relaxed CaZrTc2 crystal.

Cell lengths 4.7382, 4.7382, 4.7382 Å; angles 60.00, 60.00, 60.00 degrees
Sites, in units of the cell vectors:
1 Zr 0.5000 0.5000 0.5000
2 Tc 0.7500 0.7500 0.7500
3 Tc 0.2500 0.2500 0.2500
4 Ca 0.0000 0.0000 0.0000

- Crystal system: cubic
- Space-group type: Fm-3m, No. 225
- E above lowest polymorph: 0.230 eV/atom
- Energy of formation: 0.392 eV per atom

(12)
Density functional theory data (GGA-PBE) for a relaxed CaZrTc2 crystal.

Cell lengths 5.4111, 5.4111, 5.4111 Å; angles 144.26, 124.73, 67.58 degrees
Sites, in units of the cell vectors:
1 Zr 0.7500 0.2500 0.5000
2 Tc 0.9898 0.9898 0.0000
3 Ca 0.2500 0.7500 0.5000
4 Tc 0.5102 0.5102 0.0000

- Crystal system: orthorhombic
- Space-group type: Immm, No. 71
- E above lowest polymorph: 0.274 eV/atom
- Energy of formation: 0.436 eV per atom

Going through the records in order, we get E_tot values of -3.456; -2.703; -3.522; -2.873; -3.487; -3.511; -3.502; -3.652; -4.364; -7.554; -7.429; -7.384 eV/atom.